First-principles (PBE) data for crystalline K2LaTePt at its relaxed geometry, as listed in Alexandria.

Cell lengths 5.962, 5.962, 5.409 Å; angles 90.00, 90.00, 90.00 degrees
Positions (direct):
K (0.000, 0.500, 0.000)
K (0.500, 0.000, 0.000)
La (0.000, 0.000, 0.500)
Te (0.500, 0.500, 0.500)
Pt (0.000, 0.000, 0.000)

Summary:
Space-group type: P4/mmm, No. 123
Total magnetic moment in μB per formula unit: 0.00
Formation energy (no corrections) in meV/atom: -460.3
E in eV/atom: -3.721